MnTe2W (PBE, optimized geometry); energy relative to the elements, uncorrected = 405 kJ/mol of formula units; spin magnetization = 12.9 μB/cell
1.0
6.884 0.000 0.000
0.000 6.884 0.000
0.000 0.000 6.884
Mn Te W
4 8 4
Cartesian
0.000 0.000 0.000 Mn
0.000 3.442 3.442 Mn
3.442 0.000 3.442 Mn
3.442 3.442 0.000 Mn
0.000 0.000 3.442 Te
0.000 3.442 0.000 Te
1.721 1.721 5.163 Te
1.721 5.163 1.721 Te
3.442 0.000 0.000 Te
3.442 3.442 3.442 Te
5.163 1.721 1.721 Te
5.163 5.163 5.163 Te
1.721 1.721 1.721 W
1.721 5.163 5.163 W
5.163 1.721 5.163 W
5.163 5.163 1.721 W



Al2H16S3O20 (PBE, optimized geometry); DFT total energy = -5.62 eV/atom; spin magnetization = 0.8 μB/cell
1.0
7.411 0.000 0.000
0.000 22.065 0.000
-0.256 0.000 9.762
Al H S O
8 64 12 80
Cartesian
1.387 3.241 4.376 Al
1.259 7.792 9.257 Al
1.560 13.304 4.872 Al
1.432 19.794 9.753 Al
5.723 2.271 0.009 Al
5.595 8.762 4.890 Al
5.896 14.274 0.505 Al
5.768 18.824 5.386 Al
-0.095 5.259 3.780 H
-0.223 5.773 8.661 H
-0.156 12.002 6.303 H
-0.028 21.096 1.422 H
0.619 12.767 0.452 H
0.491 20.331 5.333 H
0.598 14.103 9.338 H
0.726 18.995 4.457 H
1.134 0.082 0.943 H
1.006 10.951 5.824 H
0.952 5.258 9.691 H
1.080 5.774 4.810 H
1.536 2.484 6.796 H
1.664 8.548 1.915 H
1.859 0.705 4.786 H
1.731 10.328 9.667 H
2.018 15.306 3.310 H
1.890 17.792 8.191 H
2.449 3.837 6.740 H
2.577 7.196 1.859 H
2.745 1.140 3.500 H
2.616 9.893 8.381 H
3.225 1.546 0.117 H
3.097 9.486 4.998 H
3.256 4.867 3.521 H
3.128 6.165 8.402 H
3.438 14.984 0.169 H
3.310 18.114 5.050 H
3.357 11.944 6.103 H
3.486 21.154 1.222 H
3.440 14.891 4.046 H
3.312 18.207 8.927 H
3.843 3.858 0.835 H
3.714 7.174 5.716 H
3.669 0.911 8.540 H
3.797 10.122 3.659 H
3.844 3.951 4.712 H
3.716 7.082 9.593 H
4.027 15.900 1.360 H
3.899 17.198 6.241 H
4.057 12.579 4.764 H
3.929 20.519 9.644 H
4.538 12.173 1.381 H
4.410 20.925 6.262 H
4.577 14.869 7.903 H
4.705 18.228 3.022 H
5.264 4.273 1.571 H
5.136 6.759 6.452 H
5.424 11.738 0.095 H
5.296 21.360 4.976 H
5.491 13.517 7.847 H
5.619 19.581 2.966 H
6.075 16.291 4.952 H
6.203 16.807 0.071 H
6.149 11.115 3.938 H
6.020 21.983 8.818 H
6.429 3.071 5.305 H
6.557 7.962 0.424 H
6.663 1.734 4.429 H
6.535 9.299 9.310 H
7.183 0.969 8.340 H
7.311 10.063 3.459 H
7.378 16.292 1.101 H
7.250 16.806 5.982 H
1.219 2.986 1.139 S
1.091 8.046 6.020 S
1.942 11.262 2.332 S
1.814 21.836 7.213 S
2.050 15.391 7.367 S
2.179 17.707 2.486 S
4.976 4.359 7.276 S
5.104 6.674 2.395 S
5.341 0.230 2.548 S
5.212 10.803 7.429 S
6.064 14.019 3.742 S
5.935 19.079 8.623 S
-0.085 14.154 4.526 O
-0.213 18.944 9.407 O
0.150 13.532 0.002 O
0.022 19.566 4.883 O
0.602 4.985 4.431 O
0.474 6.048 9.312 O
0.729 11.905 5.829 O
0.857 21.193 0.949 O
0.876 3.220 2.563 O
0.748 7.813 7.444 O
1.342 16.494 2.272 O
1.214 16.604 7.152 O
1.218 1.072 7.647 O
1.346 9.961 2.766 O
1.378 12.349 3.190 O
1.250 20.749 8.071 O
1.555 11.545 0.920 O
1.426 21.552 5.801 O
1.549 14.275 6.529 O
1.677 18.823 1.648 O
1.820 1.646 0.968 O
1.692 9.387 5.849 O
1.760 3.292 6.247 O
1.888 7.740 1.366 O
2.143 4.036 0.648 O
2.014 6.996 5.529 O
1.951 14.949 8.793 O
2.079 18.149 3.912 O
2.129 1.479 4.202 O
2.001 9.554 9.083 O
2.465 14.699 3.969 O
2.337 18.399 8.850 O
3.113 4.016 4.026 O
2.985 7.017 8.907 O
3.207 12.511 5.288 O
3.335 20.587 0.407 O
3.420 11.183 2.435 O
3.292 21.915 7.315 O
3.475 15.720 7.059 O
3.603 17.378 2.178 O
3.551 4.687 7.584 O
3.680 6.346 2.703 O
3.863 0.150 2.446 O
3.735 10.882 7.327 O
3.820 1.478 9.355 O
3.948 9.554 4.474 O
4.170 15.049 0.855 O
4.042 18.049 5.736 O
4.818 3.666 0.912 O
4.689 7.366 5.793 O
5.154 12.511 0.679 O
5.026 20.586 5.560 O
5.075 3.916 5.850 O
5.204 7.116 0.969 O
5.140 15.069 4.233 O
5.012 18.029 9.113 O
5.266 14.325 8.395 O
5.395 18.773 3.514 O
5.463 12.679 3.913 O
5.334 20.419 8.794 O
5.478 3.242 8.114 O
5.606 7.790 3.233 O
5.728 0.513 3.961 O
5.600 10.520 8.842 O
5.904 1.316 1.691 O
5.776 9.716 6.572 O
5.808 12.104 6.996 O
5.937 20.993 2.115 O
5.941 5.462 2.609 O
5.813 5.571 7.490 O
6.407 14.253 2.318 O
6.278 18.845 7.199 O
6.298 0.873 8.813 O
6.426 10.160 3.932 O
6.680 16.017 0.450 O
6.552 17.080 5.331 O
7.132 2.499 4.879 O
7.004 8.533 9.760 O
7.368 3.121 0.355 O
7.240 7.911 5.235 O